Below is a relaxed NiSbOF2 crystal, with properties calculated at the PBE+U level.

Results
Its spin magnetization is 1.96 μB per formula unit. As for the energy above the most stable polymorph in this dataset: 0.00 eV/f.u.

Cell lengths 3.9529, 3.9529, 4.1380 Å; angles 90.00, 90.00, 90.00 degrees
Space group P4/mmm (No. 123)
One atom of each set of equivalent atoms:
Ni  0.0000  0.0000  0.0000 x1
Sb  0.5000  0.5000  0.5000 x1
O  0.0000  0.0000  0.5000 x1
F  0.0000  0.5000  0.0000 x2